First-principles (GGA-PBE) data for a geometry-optimized Sr2ZnNi16 structure, as listed in Alexandria.

space group = R3m
total magnetic moment = 7.22 μB per formula unit
ΔH_f (0 K) = -0.033 eV per atom

abc: 6.3642 6.3642 6.3642
angles: 83.53 83.53 83.53
With the nearest neighbours (Å) after each atom.
Fractional positions:
Sr 0.0000 0.0000 0.0000  18 Ni 3.04-3.31, 1 Zn 3.06
Sr 0.3079 0.3079 0.3079  19 Ni 3.00-3.25
Zn 0.7492 0.7492 0.7492  7 Ni 2.39-2.61
Ni 0.1554 0.6509 0.6509  9 Ni 2.39-2.56, 1 Zn 2.61
Ni 0.3124 0.3124 0.8000  9 Ni 2.41-2.62
Ni 0.3124 0.8000 0.3124  9 Ni 2.41-2.62
Ni 0.3649 0.6523 0.9394  8 Ni 2.39-2.62
Ni 0.3649 0.9394 0.6523  8 Ni 2.39-2.62
Ni 0.5043 0.9936 0.9936  8 Ni 2.44-2.61, 1 Zn 2.59
Ni 0.5536 0.5536 0.5536  1 Zn 2.39, 6 Ni 2.56-2.57
Ni 0.6509 0.1554 0.6509  9 Ni 2.39-2.56, 1 Zn 2.61
Ni 0.6509 0.6509 0.1554  9 Ni 2.39-2.56, 1 Zn 2.61
Ni 0.6523 0.3649 0.9394  8 Ni 2.39-2.62
Ni 0.6523 0.9394 0.3649  8 Ni 2.39-2.62
Ni 0.8000 0.3124 0.3124  9 Ni 2.41-2.62
Ni 0.9394 0.3649 0.6523  8 Ni 2.39-2.62
Ni 0.9394 0.6523 0.3649  8 Ni 2.39-2.62
Ni 0.9936 0.5043 0.9936  8 Ni 2.44-2.61, 1 Zn 2.59
Ni 0.9936 0.9936 0.5043  8 Ni 2.44-2.61, 1 Zn 2.59